1.
A relaxed La2HoIn2Ag2 crystal. Source: Alexandria, functional GGA-PBE.

CIF file:
```
data_La2HoIn2Ag2
_space_group_name_H-M_alt 'R -3 m'
_space_group_IT_number 166
_space_group_name_Hall '-R 3 2"'
_cell_length_a 4.8740
_cell_length_b 4.8740
_cell_length_c 27.3306
_cell_angle_alpha 90.00
_cell_angle_beta 90.00
_cell_angle_gamma 120.00
loop_
_atom_site_label
_atom_site_fract_x
_atom_site_fract_y
_atom_site_fract_z
La1 0.0000 0.0000 0.1283
Ho1 0.0000 0.0000 0.0000
In1 0.0000 0.0000 0.2673
Ag1 0.0000 0.0000 0.3897
```

Summary:
M_tot = 0.0 μB/cell
formation energy from the elements = -2.3 eV/f.u.
crystal system = trigonal
total energy = -3.9823 eV/atom



2.
A relaxed LaHoInAg crystal. Source: Alexandria, functional GGA-PBE.

CIF file:
```
data_LaHoInAg
_space_group_name_H-M_alt 'P 4 m m'
_space_group_IT_number 99
_space_group_name_Hall 'P 4 -2'
_cell_length_a 3.6913
_cell_length_b 3.6913
_cell_length_c 7.9720
_cell_angle_alpha 90.00
_cell_angle_beta 90.00
_cell_angle_gamma 90.00
loop_
_atom_site_label
_atom_site_fract_x
_atom_site_fract_y
_atom_site_fract_z
La1 0.0000 0.0000 0.0000
Ho1 0.0000 0.0000 0.5242
In1 0.5000 0.5000 0.2765
Ag1 0.5000 0.5000 0.7245
```

Summary:
M_tot = 0.0 μB/cell
formation energy from the elements = -1.6 eV/f.u.
crystal system = tetragonal
ΔE to the lowest computed polymorph = 0.00 eV/f.u.
total energy = -4.1740 eV/atom



3.
A relaxed LaHoInAg crystal. Source: Alexandria, functional GGA-PBE.

CIF file:
```
data_LaHoInAg
_space_group_name_H-M_alt 'F -4 3 m'
_space_group_IT_number 216
_space_group_name_Hall 'F -4 2 3'
_cell_length_a 7.6196
_cell_length_b 7.6196
_cell_length_c 7.6196
_cell_angle_alpha 90.00
_cell_angle_beta 90.00
_cell_angle_gamma 90.00
loop_
_atom_site_label
_atom_site_fract_x
_atom_site_fract_y
_atom_site_fract_z
La1 0.0000 0.0000 0.0000
Ho1 0.0000 0.0000 0.5000
In1 0.2500 0.2500 0.7500
Ag1 0.2500 0.2500 0.2500
```

Summary:
M_tot = 0.0 μB/cell
formation energy from the elements = -1.5 eV/f.u.
crystal system = cubic
ΔE to the lowest computed polymorph = 0.12 eV/f.u.
total energy = -4.1451 eV/atom



4.
A relaxed LaHo2In2Ag2 crystal. Source: Alexandria, functional GGA-PBE.

CIF file:
```
data_LaHo2In2Ag2
_space_group_name_H-M_alt 'R -3 m'
_space_group_IT_number 166
_space_group_name_Hall '-R 3 2"'
_cell_length_a 4.8990
_cell_length_b 4.8990
_cell_length_c 27.0463
_cell_angle_alpha 90.00
_cell_angle_beta 90.00
_cell_angle_gamma 120.00
loop_
_atom_site_label
_atom_site_fract_x
_atom_site_fract_y
_atom_site_fract_z
La1 0.0000 0.0000 0.0000
Ho1 0.0000 0.0000 0.1288
In1 0.0000 0.0000 0.2558
Ag1 0.0000 0.0000 0.4138
```

Summary:
M_tot = 0.0 μB/cell
formation energy from the elements = -2.2 eV/f.u.
crystal system = trigonal
total energy = -3.9214 eV/atom



5.
A relaxed Li2HoIn2Ag2 crystal. Source: Alexandria, functional GGA-PBE.

CIF file:
```
data_Li2HoIn2Ag2
_space_group_name_H-M_alt 'R -3 m'
_space_group_IT_number 166
_space_group_name_Hall '-R 3 2"'
_cell_length_a 4.8238
_cell_length_b 4.8238
_cell_length_c 21.5471
_cell_angle_alpha 90.00
_cell_angle_beta 90.00
_cell_angle_gamma 120.00
loop_
_atom_site_label
_atom_site_fract_x
_atom_site_fract_y
_atom_site_fract_z
Li1 0.0000 0.0000 0.1421
Ho1 0.0000 0.0000 0.0000
In1 0.0000 0.0000 0.2695
Ag1 0.0000 0.0000 0.4241
```

Summary:
M_tot = 0.0 μB/cell
formation energy from the elements = -1.7 eV/f.u.
crystal system = trigonal
total energy = -3.0411 eV/atom



6.
A relaxed LiHoIn2Ag4 crystal. Source: Alexandria, functional GGA-PBE.

CIF file:
```
data_LiHoIn2Ag4
_space_group_name_H-M_alt 'R -3 m'
_space_group_IT_number 166
_space_group_name_Hall '-R 3 2"'
_cell_length_a 4.8309
_cell_length_b 4.8309
_cell_length_c 23.7300
_cell_angle_alpha 90.00
_cell_angle_beta 90.00
_cell_angle_gamma 120.00
loop_
_atom_site_label
_atom_site_fract_x
_atom_site_fract_y
_atom_site_fract_z
Li1 0.0000 0.0000 0.0000
Ho1 0.0000 0.0000 0.5000
In1 0.0000 0.0000 0.2482
Ag1 0.0000 0.0000 0.1150
Ag2 0.0000 0.0000 0.3700
```

Summary:
M_tot = 0.0 μB/cell
formation energy from the elements = -2.0 eV/f.u.
crystal system = trigonal
total energy = -3.1737 eV/atom



Q: Look up the total energy of the second one.
A: -4.1740 eV/atom



Q: The highest total energy belongs to which entry?
A: Li2HoIn2Ag2



Q: total energy of number 4 (LaHo2In2Ag2)?
A: -3.9214 eV/atom